[1]
A relaxed BaCaBe2 crystal. Source: Alexandria via LeMat-Bulk, functional GGA-PBE.

Computed properties:
DFT formation energy = 0.332 eV/atom
Space group = No. 38

Unit cell a=4.203 b=4.973 c=5.701 alpha=64.17 beta=90.00 gamma=90.00
Positions (direct):
Ba 0.500 0.787 0.801
Ca 0.000 0.485 0.405
Be 0.500 0.096 0.184
Be 0.000 0.132 0.110



[2]
A relaxed BaCaBe3 crystal. Source: Alexandria via LeMat-Bulk, functional GGA-PBE.

Computed properties:
DFT formation energy = 1.606 eV/atom
Space group = No. 221

Unit cell a=5.320 b=5.320 c=5.320 alpha=90.00 beta=90.00 gamma=90.00
Positions (direct):
Be 0.500 0.000 0.000
Be 0.000 0.500 0.000
Be 0.000 0.000 0.500
Ba 0.000 0.000 0.000
Ca 0.500 0.500 0.500



[3]
A relaxed BaCaBe crystal. Source: Alexandria via LeMat-Bulk, functional GGA-PBE.

Computed properties:
DFT formation energy = 0.459 eV/atom
Space group = No. 216

Unit cell a=5.377 b=5.377 c=5.377 alpha=60.00 beta=60.00 gamma=60.00
Positions (direct):
Ca 0.000 0.000 0.000
Ba 0.500 0.500 0.500
Be 0.750 0.750 0.750



[4]
A relaxed BaCaBe2 crystal. Source: Alexandria via LeMat-Bulk, functional GGA-PBE.

Computed properties:
DFT formation energy = 0.369 eV/atom
Space group = No. 12

Unit cell a=5.561 b=5.561 c=7.623 alpha=55.27 beta=55.27 gamma=43.21
Positions (direct):
Ba 0.750 0.750 0.750
Be 0.507 0.507 0.285
Be 0.993 0.993 0.215
Ca 0.250 0.250 0.250



Q: The highest DFT formation energy belongs to which entry?
A: BaCaBe3



What did the first record say?
A relaxed BaCaBe2 crystal. Source: Alexandria via LeMat-Bulk, functional GGA-PBE.

Computed properties:
DFT formation energy = 0.332 eV/atom
Space group = No. 38

Unit cell a=4.203 b=4.973 c=5.701 alpha=64.17 beta=90.00 gamma=90.00
Positions (direct):
Ba 0.500 0.787 0.801
Ca 0.000 0.485 0.405
Be 0.500 0.096 0.184
Be 0.000 0.132 0.110



Copy entry 2 word for word.
A relaxed BaCaBe3 crystal. Source: Alexandria via LeMat-Bulk, functional GGA-PBE.

Computed properties:
DFT formation energy = 1.606 eV/atom
Space group = No. 221

Unit cell a=5.320 b=5.320 c=5.320 alpha=90.00 beta=90.00 gamma=90.00
Positions (direct):
Be 0.500 0.000 0.000
Be 0.000 0.500 0.000
Be 0.000 0.000 0.500
Ba 0.000 0.000 0.000
Ca 0.500 0.500 0.500